# HfAgPtAu, relaxed, DFT PBE
data_HfAgPtAu
_cell_length_a 6.5952
_cell_length_b 6.5952
_cell_length_c 6.5952
_cell_angle_alpha 90.00
_cell_angle_beta 90.00
_cell_angle_gamma 90.00
_symmetry_space_group_name_H-M 'F -4 3 m'
_symmetry_Int_Tables_number 216
_symmetry_space_group_name_Hall 'F -4 2 3'
loop_
_atom_site_label
_atom_site_fract_x
_atom_site_fract_y
_atom_site_fract_z
_atom_site_occupancy
Hf1 0.0000 0.0000 0.0000 1
Ag1 0.0000 0.0000 0.5000 1
Pt1 0.2500 0.2500 0.2500 1
Au1 0.2500 0.2500 0.7500 1
# Crystal system: cubic
# Size of the total moment (μB/cell): 0.000
# Total energy (eV per atom): -6.04